(1)
# Rb2VCl6F PBE with a Hubbard U optimized geometry
data_Rb2VCl6F
_chemical_formula_sum 'Rb2 V1 Cl6 F1'
_cell_length_a 7.081
_cell_length_b 7.081
_cell_length_c 7.081
_cell_angle_alpha 114.35
_cell_angle_beta 114.35
_cell_angle_gamma 100.10
_symmetry_space_group_name_H-M 'P 1'
_symmetry_Int_Tables_number 1
_symmetry_space_group_name_Hall 'P 1'
loop_
_atom_site_label
_atom_site_type_symbol
_atom_site_fract_x
_atom_site_fract_y
_atom_site_fract_z
Rb1 Rb 0.250 0.750 0.500
Rb2 Rb 0.750 0.250 0.500
V1 V 0.000 0.000 0.000
Cl1 Cl 0.216 0.216 0.431
Cl2 Cl 0.216 0.784 0.000
Cl3 Cl 0.246 0.246 0.000
Cl4 Cl 0.754 0.754 0.000
Cl5 Cl 0.784 0.216 0.000
Cl6 Cl 0.784 0.784 0.569
F1 F 0.500 0.500 0.000
# Total moment, μB/f.u.: 0.000
# Fermi-level density of states, states/eV/f.u.: 4.32
# VASP energy, eV/atom: -3.449



(2)
# Rb2VCl2F2 PBE with a Hubbard U optimized geometry
data_Rb2VCl2F2
_chemical_formula_sum 'Rb2 V1 Cl2 F2'
_cell_length_a 8.689
_cell_length_b 8.689
_cell_length_c 8.689
_cell_angle_alpha 150.20
_cell_angle_beta 150.20
_cell_angle_gamma 42.65
_symmetry_space_group_name_H-M 'P 1'
_symmetry_Int_Tables_number 1
_symmetry_space_group_name_Hall 'P 1'
loop_
_atom_site_label
_atom_site_type_symbol
_atom_site_fract_x
_atom_site_fract_y
_atom_site_fract_z
Rb1 Rb 0.130 0.130 0.000
Rb2 Rb 0.870 0.870 0.000
V1 V 0.500 0.500 0.000
Cl1 Cl 0.343 0.343 0.000
Cl2 Cl 0.657 0.657 0.000
F1 F 0.000 0.500 0.500
F2 F 0.500 0.000 0.500
# Total moment, μB/f.u.: 3.000
# Fermi-level density of states, states/eV/f.u.: 0.00
# VASP energy, eV/atom: -4.622



(3)
# RbVCl2F PBE with a Hubbard U optimized geometry
data_RbVCl2F
_chemical_formula_sum 'Rb1 V1 Cl2 F1'
_cell_length_a 5.184
_cell_length_b 5.184
_cell_length_c 4.219
_cell_angle_alpha 90.00
_cell_angle_beta 90.00
_cell_angle_gamma 90.00
_symmetry_space_group_name_H-M 'P 1'
_symmetry_Int_Tables_number 1
_symmetry_space_group_name_Hall 'P 1'
loop_
_atom_site_label
_atom_site_type_symbol
_atom_site_fract_x
_atom_site_fract_y
_atom_site_fract_z
Rb1 Rb 0.000 0.000 0.000
V1 V 0.500 0.500 0.500
Cl1 Cl 0.000 0.500 0.500
Cl2 Cl 0.500 0.000 0.500
F1 F 0.500 0.500 0.000
# Total moment, μB/f.u.: 3.000
# Fermi-level density of states, states/eV/f.u.: 0.00
# VASP energy, eV/atom: -4.727



(4)
# Rb3VCl2F6 PBE with a Hubbard U optimized geometry
data_Rb3VCl2F6
_chemical_formula_sum 'Rb3 V1 Cl2 F6'
_cell_length_a 8.907
_cell_length_b 8.907
_cell_length_c 4.915
_cell_angle_alpha 90.29
_cell_angle_beta 90.29
_cell_angle_gamma 52.68
_symmetry_space_group_name_H-M 'P 1'
_symmetry_Int_Tables_number 1
_symmetry_space_group_name_Hall 'P 1'
loop_
_atom_site_label
_atom_site_type_symbol
_atom_site_fract_x
_atom_site_fract_y
_atom_site_fract_z
Rb1 Rb 0.000 0.000 0.000
Rb2 Rb 0.000 0.500 0.500
Rb3 Rb 0.500 0.000 0.500
V1 V 0.500 0.500 0.500
Cl1 Cl 0.196 0.196 0.991
Cl2 Cl 0.804 0.804 0.009
F1 F 0.299 0.629 0.729
F2 F 0.371 0.701 0.271
F3 F 0.397 0.397 0.340
F4 F 0.603 0.603 0.660
F5 F 0.629 0.299 0.729
F6 F 0.701 0.371 0.271
# Total moment, μB/f.u.: 0.000
# VASP energy, eV/atom: -4.507



(5)
# Rb2VCl5F PBE with a Hubbard U optimized geometry
data_Rb2VCl5F
_chemical_formula_sum 'Rb2 V1 Cl5 F1'
_cell_length_a 7.068
_cell_length_b 7.068
_cell_length_c 7.068
_cell_angle_alpha 117.78
_cell_angle_beta 117.78
_cell_angle_gamma 93.89
_symmetry_space_group_name_H-M 'P 1'
_symmetry_Int_Tables_number 1
_symmetry_space_group_name_Hall 'P 1'
loop_
_atom_site_label
_atom_site_type_symbol
_atom_site_fract_x
_atom_site_fract_y
_atom_site_fract_z
Rb1 Rb 0.000 0.500 0.500
Rb2 Rb 0.500 0.000 0.500
V1 V 0.250 0.250 0.000
Cl1 Cl 0.020 0.020 0.540
Cl2 Cl 0.020 0.479 0.000
Cl3 Cl 0.479 0.020 0.000
Cl4 Cl 0.479 0.479 0.460
Cl5 Cl 0.488 0.488 0.000
F1 F 0.062 0.062 0.000
# Total moment, μB/f.u.: 1.055
# Fermi-level density of states, states/eV/f.u.: 0.00
# VASP energy, eV/atom: -3.994



(6)
# Rb2VCl4F2 PBE with a Hubbard U optimized geometry
data_Rb2VCl4F2
_chemical_formula_sum 'Rb2 V1 Cl4 F2'
_cell_length_a 6.744
_cell_length_b 6.744
_cell_length_c 5.719
_cell_angle_alpha 98.00
_cell_angle_beta 98.00
_cell_angle_gamma 64.37
_symmetry_space_group_name_H-M 'P 1'
_symmetry_Int_Tables_number 1
_symmetry_space_group_name_Hall 'P 1'
loop_
_atom_site_label
_atom_site_type_symbol
_atom_site_fract_x
_atom_site_fract_y
_atom_site_fract_z
Rb1 Rb 0.166 0.166 0.312
Rb2 Rb 0.834 0.834 0.688
V1 V 0.500 0.500 0.000
Cl1 Cl 0.169 0.643 0.194
Cl2 Cl 0.357 0.831 0.806
Cl3 Cl 0.643 0.169 0.194
Cl4 Cl 0.831 0.357 0.806
F1 F 0.374 0.374 0.758
F2 F 0.626 0.626 0.242
# Total moment, μB/f.u.: 1.082
# Fermi-level density of states, states/eV/f.u.: 0.00
# VASP energy, eV/atom: -4.222



| no. | V (Å³ per atom) |
| --- | --- |
| 1 | 26.8 |
| 2 | 23.1 |
| 3 | 22.7 |
| 4 | 25.8 |
| 5 | 28.6 |
| 6 | 25.7 |